Th4SbC2, relaxed, DFT PBE; D(E_F) = 10.41 states/eV per cell; total magnetization = 0.00 μB per formula unit; SG = Cmcm; E_tot = -7.90 eV per atom; raw formation energy = -0.432 eV per atom
1.0
1.9889 -6.4243 0.0000
1.9889 6.4243 0.0000
0.0000 0.0000 13.2499
Th Sb C
8 2 4
direct
0.0000 0.0000 0.0000
0.0000 0.0000 0.5000
0.2646 0.7354 0.6044
0.2646 0.7354 0.8956
0.4136 0.5864 0.2500
0.5864 0.4136 0.7500
0.7354 0.2646 0.1044
0.7354 0.2646 0.3956
0.1026 0.8974 0.2500
0.8974 0.1026 0.7500
0.3629 0.6371 0.0613
0.3629 0.6371 0.4387
0.6371 0.3629 0.5613
0.6371 0.3629 0.9387



NaPrAs2O6, relaxed, DFT PBE; D(E_F) = 4.32 states/eV per cell; total magnetization = 0.00 μB per formula unit; SG = C2/c; E_tot = -6.31 eV per atom; raw formation energy = -1.799 eV per atom
1.0
5.5978 -4.2602 0.0000
5.5978 4.2602 0.0000
-3.4924 0.0000 6.1955
Na Pr As O
2 2 4 12
direct
0.2263 0.7737 0.7500
0.7737 0.2263 0.2500
0.3484 0.6516 0.2500
0.6516 0.3484 0.7500
0.1633 0.2507 0.7173
0.2507 0.1633 0.2173
0.7493 0.8367 0.7827
0.8367 0.7493 0.2827
0.0940 0.6451 0.3859
0.1067 0.2324 0.9698
0.2324 0.1067 0.4698
0.3084 0.4621 0.8468
0.3549 0.9060 0.1141
0.4621 0.3084 0.3468
0.5379 0.6916 0.6532
0.6451 0.0940 0.8859
0.6916 0.5379 0.1532
0.7676 0.8933 0.5302
0.8933 0.7676 0.0302
0.9060 0.3549 0.6141



> Look up the raw formation energy of the first one.

-0.432 eV per atom



> The highest D(E_F) belongs to which entry?

Th4SbC2